(1)
# CsNaCdO2

CsNaCdO2 after structural relaxation (GGA-PBE, the Alexandria database).

Output
For the energy, the calculation gives -74.729 eV/cell. Its uncorrected formation energy is -26.2 kcal/mol of atoms. The total magnetization is 0.0 μB/cell.

a = 12.4668 Å, b = 3.9588 Å, c = 8.4634 Å
α = 90.00°, β = 101.23°, γ = 90.00°
Space group C2/m (No. 12)
Asymmetric unit:
Cs 0.1566 0.0000 0.1418 [4 per cell]
Na 0.1817 0.0000 0.5508 [4 per cell]
Cd 0.0473 0.5000 0.6827 [4 per cell]
O 0.1140 0.0000 0.7914 [4 per cell]
O 0.1262 0.5000 0.4356 [4 per cell]

---

(2)
# Cs2NaCdP

Cs2NaCdP after structural relaxation (GGA-PBE, the Alexandria database).

Output
For the energy, the calculation gives -9.540 eV/cell. The total magnetization is 0.0 μB/cell.

a = 7.3640 Å, b = 7.3640 Å, c = 4.8823 Å
α = 90.00°, β = 90.00°, γ = 90.00°
Space group P4/mmm (No. 123)
Asymmetric unit:
Cs 0.0000 0.5000 0.0000 [2 per cell]
Na 0.0000 0.0000 0.5000 [1 per cell]
Cd 0.5000 0.5000 0.5000 [1 per cell]
P 0.5000 0.5000 0.0000 [1 per cell]

---

(3)
# Cs2NaCdP2

Cs2NaCdP2 after structural relaxation (GGA-PBE, the Alexandria database).

Output
For the energy, the calculation gives -65.327 eV/cell. The total magnetization is 2.2 μB/cell.

a = 6.9046 Å, b = 16.5546 Å, c = 6.7921 Å
α = 90.00°, β = 90.00°, γ = 90.00°
Space group Ibam (No. 72)
Asymmetric unit:
Cs 0.2403 0.1721 0.0000 [8 per cell]
Na 0.0000 0.0000 0.2500 [4 per cell]
Cd 0.0000 0.5000 0.2500 [4 per cell]
P 0.2191 0.4121 0.0000 [8 per cell]

---

(4)
# CsNa2CdP

CsNa2CdP after structural relaxation (GGA-PBE, the Alexandria database).

Output
For the energy, the calculation gives -10.225 eV/cell. The total magnetization is 0.2 μB/cell.

a = 5.6408 Å, b = 5.6408 Å, c = 5.5680 Å
α = 90.00°, β = 90.00°, γ = 90.00°
Space group P4/mmm (No. 123)
Asymmetric unit:
Cs 0.0000 0.0000 0.0000 [1 per cell]
Na 0.0000 0.5000 0.5000 [2 per cell]
Cd 0.5000 0.5000 0.0000 [1 per cell]
P 0.5000 0.5000 0.5000 [1 per cell]

---

(5)
# Cs2NaCd3Pb4

Cs2NaCd3Pb4 after structural relaxation (GGA-PBE, the Alexandria database).

Output
For the energy, the calculation gives -21.329 eV/cell. The total magnetization is 0.0 μB/cell.

a = 5.2712 Å, b = 5.2712 Å, c = 12.8982 Å
α = 90.00°, β = 90.00°, γ = 90.00°
Space group P-4m2 (No. 115)
Asymmetric unit:
Cs 0.0000 0.5000 0.2492 [2 per cell]
Na 0.5000 0.5000 0.0000 [1 per cell]
Cd 0.0000 0.0000 0.0000 [1 per cell]
Cd 0.0000 0.5000 0.6351 [2 per cell]
Pb 0.0000 0.0000 0.5000 [1 per cell]
Pb 0.0000 0.5000 0.8704 [2 per cell]
Pb 0.5000 0.5000 0.5000 [1 per cell]

---

(6)
# CsNaCd2Pb

CsNaCd2Pb after structural relaxation (GGA-PBE, the Alexandria database).

Output
For the energy, the calculation gives -7.587 eV/cell. The total magnetization is 0.0 μB/cell.

a = 6.0947 Å, b = 6.0947 Å, c = 6.0018 Å
α = 90.00°, β = 90.00°, γ = 90.00°
Space group P4/mmm (No. 123)
Asymmetric unit:
Cs 0.0000 0.0000 0.0000 [1 per cell]
Na 0.5000 0.5000 0.0000 [1 per cell]
Cd 0.0000 0.5000 0.5000 [2 per cell]
Pb 0.5000 0.5000 0.5000 [1 per cell]

---

(7)
# CsNaCdPb2

CsNaCdPb2 after structural relaxation (GGA-PBE, the Alexandria database).

Output
For the energy, the calculation gives -9.266 eV/cell. The total magnetization is 0.0 μB/cell.

a = 5.8889 Å, b = 5.8889 Å, c = 6.6594 Å
α = 90.00°, β = 90.00°, γ = 90.00°
Space group P4/mmm (No. 123)
Asymmetric unit:
Cs 0.0000 0.0000 0.0000 [1 per cell]
Na 0.5000 0.5000 0.0000 [1 per cell]
Cd 0.0000 0.0000 0.5000 [1 per cell]
Pb 0.0000 0.5000 0.5000 [2 per cell]

---

(8)
# CsNa2CdPd

CsNa2CdPd after structural relaxation (GGA-PBE, the Alexandria database).

Output
For the energy, the calculation gives -9.920 eV/cell. The total magnetization is 0.0 μB/cell.

a = 5.6741 Å, b = 5.6741 Å, c = 5.4660 Å
α = 90.00°, β = 90.00°, γ = 90.00°
Space group P4/mmm (No. 123)
Asymmetric unit:
Cs 0.0000 0.0000 0.0000 [1 per cell]
Na 0.0000 0.5000 0.5000 [2 per cell]
Cd 0.5000 0.5000 0.0000 [1 per cell]
Pd 0.5000 0.5000 0.5000 [1 per cell]